## CsSbTeH (PBE)

Data for crystalline CsSbTeH at its relaxed geometry.

Output
The magnetic moment comes out at 0.000 μB per atom. The value obtained for the energy above the lowest structure with this stoichiometry is 52.8 meV per atom.

a b c (Å): 6.2956 4.2918 6.4031
angles (deg): 90.00 115.62 90.00
Positions (direct):
Cs 0.0000 0.0000 0.0000
Sb 0.6103 0.5000 0.3954
Te 0.0859 0.5000 0.5368
H 0.6303 0.5000 0.6784



## InAu4 (PBE)

Data for crystalline InAu4 at its relaxed geometry.

Output
The energy of formation from the pure elements comes out at -0.9 kcal/mol of atoms. The magnetic moment comes out at 0.000 μB per atom.

a b c (Å): 4.1446 5.7247 9.6835
angles (deg): 90.00 114.37 90.00
Positions (direct):
In 0.0000 0.0000 0.0000
In 0.0000 0.5000 0.5000
Au 0.1522 0.0579 0.3992
Au 0.1522 0.4421 0.8992
Au 0.4859 0.2185 0.7340
Au 0.4859 0.2815 0.2340
Au 0.5141 0.7185 0.7660
Au 0.5141 0.7815 0.2660
Au 0.8478 0.5579 0.1008
Au 0.8478 0.9421 0.6008



## Pr3Ti5Se12 (PBE)

Data for crystalline Pr3Ti5Se12 at its relaxed geometry.

Output
The raw formation energy is -1278 meV per atom. The magnetic moment comes out at 0.242 μB per atom.

a b c (Å): 13.9551 13.9551 13.9551
angles (deg): 109.47 109.47 109.47
Positions (direct):
Pr 0.1250 0.2500 0.3750
Pr 0.1250 0.3750 0.7500
Pr 0.2500 0.3750 0.1250
Pr 0.2500 0.8750 0.6250
Pr 0.3750 0.1250 0.2500
Pr 0.3750 0.7500 0.1250
Pr 0.6250 0.2500 0.8750
Pr 0.6250 0.8750 0.7500
Pr 0.7500 0.1250 0.3750
Pr 0.7500 0.6250 0.8750
Pr 0.8750 0.6250 0.2500
Pr 0.8750 0.7500 0.6250
Ti 0.0000 0.0000 0.0000
Ti 0.0000 0.0000 0.5000
Ti 0.0000 0.5000 0.0000
Ti 0.0000 0.5000 0.5000
Ti 0.1250 0.7500 0.8750
Ti 0.1250 0.8750 0.2500
Ti 0.2500 0.1250 0.8750
Ti 0.2500 0.6250 0.3750
Ti 0.3750 0.2500 0.6250
Ti 0.3750 0.6250 0.7500
Ti 0.5000 0.0000 0.0000
Ti 0.5000 0.0000 0.5000
Ti 0.5000 0.5000 0.0000
Ti 0.5000 0.5000 0.5000
Ti 0.6250 0.3750 0.2500
Ti 0.6250 0.7500 0.3750
Ti 0.7500 0.3750 0.6250
Ti 0.7500 0.8750 0.1250
Ti 0.8750 0.1250 0.7500
Ti 0.8750 0.2500 0.1250
Se 0.0295 0.2084 0.1191
Se 0.0295 0.3211 0.9104
Se 0.0893 0.7084 0.6789
Se 0.0893 0.8809 0.4104
Se 0.0896 0.6191 0.4107
Se 0.0896 0.9705 0.6789
Se 0.1191 0.0295 0.2084
Se 0.1191 0.5896 0.9107
Se 0.1789 0.2084 0.5893
Se 0.1789 0.4705 0.5896
Se 0.2084 0.1191 0.0295
Se 0.2084 0.5893 0.1789
Se 0.2916 0.3211 0.9107
Se 0.2916 0.4705 0.3809
Se 0.3211 0.9104 0.0295
Se 0.3211 0.9107 0.2916
Se 0.3809 0.2916 0.4705
Se 0.3809 0.5893 0.9104
Se 0.4104 0.0893 0.8809
Se 0.4104 0.8211 0.5295
Se 0.4107 0.0896 0.6191
Se 0.4107 0.8211 0.7916
Se 0.4705 0.3809 0.2916
Se 0.4705 0.5896 0.1789
Se 0.5295 0.4104 0.8211
Se 0.5295 0.6191 0.7084
Se 0.5893 0.1789 0.2084
Se 0.5893 0.9104 0.3809
Se 0.5896 0.1789 0.4705
Se 0.5896 0.9107 0.1191
Se 0.6191 0.4107 0.0896
Se 0.6191 0.7084 0.5295
Se 0.6789 0.0893 0.7084
Se 0.6789 0.0896 0.9705
Se 0.7084 0.5295 0.6191
Se 0.7084 0.6789 0.0893
Se 0.7916 0.4107 0.8211
Se 0.7916 0.8809 0.9705
Se 0.8211 0.5295 0.4104
Se 0.8211 0.7916 0.4107
Se 0.8809 0.4104 0.0893
Se 0.8809 0.9705 0.7916
Se 0.9104 0.0295 0.3211
Se 0.9104 0.3809 0.5893
Se 0.9107 0.1191 0.5896
Se 0.9107 0.2916 0.3211
Se 0.9705 0.6789 0.0896
Se 0.9705 0.7916 0.8809



## K3HSe2O8 (PBE)

Data for crystalline K3HSe2O8 at its relaxed geometry.

Output
The total energy is -5.069 eV per atom. The magnetic moment comes out at 0.006 μB per atom.

a b c (Å): 8.2942 8.2942 10.2698
angles (deg): 103.83 103.83 43.36
Positions (direct):
K 0.0618 0.5617 0.0987
K 0.2167 0.7833 0.5000
K 0.3964 0.8362 0.1978
K 0.5617 0.0618 0.5987
K 0.7833 0.2167 0.0000
K 0.8362 0.3964 0.6978
H 0.2844 0.3342 0.3575
H 0.3342 0.2844 0.8575
Se 0.1999 0.6451 0.8108
Se 0.4166 0.9652 0.8857
Se 0.6451 0.1999 0.3108
Se 0.9652 0.4166 0.3857
O 0.1299 0.4840 0.4128
O 0.1410 0.4798 0.7869
O 0.1485 0.1541 0.4420
O 0.1541 0.1485 0.9420
O 0.2080 0.7200 0.9769
O 0.4099 0.8973 0.7199
O 0.4650 0.4682 0.7569
O 0.4682 0.4650 0.2569
O 0.4798 0.1410 0.2869
O 0.4840 0.1299 0.9128
O 0.6315 0.7329 0.9713
O 0.7200 0.2080 0.4769
O 0.7329 0.6315 0.4713
O 0.8820 0.9893 0.2263
O 0.8973 0.4099 0.2199
O 0.9893 0.8820 0.7263



## Ce2PaAu (PBE)

Data for crystalline Ce2PaAu at its relaxed geometry.

Output
The energy of formation from the pure elements comes out at -0.2 kcal/mol of atoms. The magnetic moment comes out at 0.773 μB per atom. The value obtained for the energy above the lowest structure with this stoichiometry is 218.0 meV per atom.

a b c (Å): 5.1601 5.1601 5.1601
angles (deg): 60.00 60.00 60.00
Positions (direct):
Ce 0.2500 0.2500 0.2500
Ce 0.7500 0.7500 0.7500
Pa 0.0000 0.0000 0.0000
Au 0.5000 0.5000 0.5000